No. 1
# Er3Sc3Sb2Os

A relaxed Er3Sc3Sb2Os crystal (PBE-GGA, OQMD).

extended XYZ file:
```
9
Lattice="7.961 0.000 0.000 -3.981 6.895 0.000 0.000 0.000 4.028" Properties=species:S:1:pos:R:3 pbc="T T T"
Er 6.023 0.000 2.014
Er 0.969 1.679 2.014
Er -3.011 5.216 2.014
Os 0.000 0.000 0.000
Sb 3.981 2.298 2.014
Sb 0.000 4.596 2.014
Sc 3.106 0.000 0.000
Sc -1.553 2.690 0.000
Sc 2.428 4.205 0.000
```

Calculated values
**Offset from the most stable computed form**: 151 meV per atom
**E_tot**: -57.45 eV/cell
**Density**: 8039 kg/m³
**Size of the total moment**: 0.05 μB/f.u.

---

No. 2
# Er3Sc3SbTeOs

A relaxed Er3Sc3SbTeOs crystal (PBE-GGA, OQMD).

extended XYZ file:
```
9
Lattice="7.847 0.000 0.000 -3.924 6.796 0.000 0.000 0.000 4.069" Properties=species:S:1:pos:R:3 pbc="T T T"
Er 1.501 2.642 0.000
Er -2.386 4.175 0.000
Er 0.885 6.774 0.000
Os 0.000 0.000 0.000
Sb 0.000 4.531 2.035
Sc -0.901 1.577 2.035
Sc 3.009 5.227 2.035
Sc -2.108 6.788 2.035
Te 3.924 2.265 2.035
```

Calculated values
**E_tot**: -57.92 eV/cell
**Density**: 8236 kg/m³
**Size of the total moment**: 0.01 μB/f.u.

---

No. 3
# Er2TmSc3Sb2Os

A relaxed Er2TmSc3Sb2Os crystal (PBE-GGA, OQMD).

extended XYZ file:
```
9
Lattice="4.162 0.000 0.000 0.000 6.742 3.891 0.000 -6.742 3.891" Properties=species:S:1:pos:R:3 pbc="T T T"
Er 0.000 2.641 6.255
Er 0.000 -2.641 6.255
Os 0.000 0.000 0.011
Sb 2.081 2.242 3.888
Sb 2.081 -2.242 3.888
Sc 2.081 1.546 0.892
Sc 2.081 -1.546 0.892
Sc 2.081 0.000 6.003
Tm 0.000 0.000 3.042
```

Calculated values
**E_tot**: -58.70 eV/cell
**Density**: 8153 kg/m³
**Size of the total moment**: 0.03 μB/f.u.

---

No. 4
# ErTm2Sc3Sb2Os

A relaxed ErTm2Sc3Sb2Os crystal (PBE-GGA, OQMD).

extended XYZ file:
```
9
Lattice="4.159 0.000 0.000 0.000 6.737 3.889 0.000 -6.737 3.889" Properties=species:S:1:pos:R:3 pbc="T T T"
Er 0.000 0.000 4.729
Os 0.000 0.000 0.011
Sb 2.080 2.250 3.887
Sb 2.080 -2.250 3.887
Sc 2.080 5.191 2.998
Sc 2.080 0.000 1.789
Sc 2.080 -5.191 2.998
Tm 0.000 4.102 5.408
Tm 0.000 -4.102 5.408
```

Calculated values
**E_tot**: -58.59 eV/cell
**Density**: 8181 kg/m³
**Size of the total moment**: 0.03 μB/f.u.

---

No. 5
# Y3Er2ScSb2Os

A relaxed Y3Er2ScSb2Os crystal (PBE-GGA, OQMD).

extended XYZ file:
```
9
Lattice="-0.804 0.480 -4.082 -7.518 -2.667 1.168 1.599 7.878 0.611" Properties=species:S:1:pos:R:3 pbc="T T T"
Er -6.681 3.618 -0.407
Er -4.571 6.059 -0.536
Os -0.127 0.111 0.038
Sb -4.835 1.093 -1.067
Sb -1.841 4.556 -1.250
Sc -1.791 1.462 -1.624
Y -2.947 -1.041 0.458
Y 0.623 3.088 0.240
Y -3.516 3.095 1.057
```

Calculated values
**E_tot**: -60.81 eV/cell
**Density**: 7594 kg/m³
**Size of the total moment**: 0.03 μB/f.u.

---

No. 6
# Er3Tm3SbTeOs

A relaxed Er3Tm3SbTeOs crystal (PBE-GGA, OQMD).

extended XYZ file:
```
9
Lattice="-4.557 -5.126 4.406 7.757 -1.859 -1.681 1.200 1.893 3.444" Properties=species:S:1:pos:R:3 pbc="T T T"
Er 1.867 -1.754 2.765
Er 5.348 -0.218 0.708
Er 5.542 -4.032 2.737
Os 0.600 0.947 1.722
Sb 3.652 -2.948 0.348
Te -0.452 -4.037 2.377
Tm 1.839 -0.444 -0.396
Tm 2.445 -5.328 2.077
Tm 6.673 -3.072 -0.637
```

Calculated values
**E_tot**: -51.92 eV/cell
**Density**: 10168 kg/m³
**Size of the total moment**: 0.03 μB/f.u.

---

No. 7
# Er3Tm3Sb2Os

A relaxed Er3Tm3Sb2Os crystal (PBE-GGA, OQMD).

extended XYZ file:
```
9
Lattice="4.193 0.000 0.000 0.000 7.003 4.041 0.000 -7.003 4.041" Properties=species:S:1:pos:R:3 pbc="T T T"
Er 0.000 0.000 3.159
Er 0.000 2.742 6.497
Er 0.000 -2.742 6.497
Os 0.000 0.000 0.009
Sb 2.097 2.332 4.039
Sb 2.097 -2.332 4.039
Tm 2.097 1.653 0.954
Tm 2.097 -1.653 0.954
Tm 2.097 0.000 6.179
```

Calculated values
**Offset from the most stable computed form**: 0 meV per atom
**E_tot**: -52.75 eV/cell
**Density**: 10093 kg/m³
**Size of the total moment**: 0.02 μB/f.u.

---

No. 8
# Er3Tm3Sb2Os

A relaxed Er3Tm3Sb2Os crystal (PBE-GGA, OQMD).

extended XYZ file:
```
9
Lattice="-1.573 -7.641 -2.122 4.926 4.524 -4.542 3.280 -1.303 2.260" Properties=species:S:1:pos:R:3 pbc="T T T"
Er -0.613 -2.980 -0.827
Er 1.921 1.764 -1.771
Er 2.046 -1.901 -4.065
Os 0.000 0.000 0.000
Sb 2.233 -4.237 -1.799
Sb 4.400 -0.182 -2.605
Tm 0.440 -6.481 -0.489
Tm 2.435 -1.390 -0.450
Tm 5.398 2.800 -2.335
```

Calculated values
**Offset from the most stable computed form**: 0 meV per atom
**E_tot**: -52.75 eV/cell
**Density**: 10097 kg/m³
**Size of the total moment**: 0.02 μB/f.u.

---

No. 9
# Er3Tm3Sb2Os

A relaxed Er3Tm3Sb2Os crystal (PBE-GGA, OQMD).

extended XYZ file:
```
9
Lattice="-7.661 1.967 1.700 1.641 -6.936 -3.827 0.315 -1.962 3.691" Properties=species:S:1:pos:R:3 pbc="T T T"
Er -5.683 0.519 3.142
Er -1.272 -2.161 1.340
Er 1.409 -6.270 -1.072
Os 0.000 0.000 0.000
Sb -4.402 -1.981 1.703
Sb -1.302 -4.949 -0.139
Tm -2.987 0.767 0.663
Tm 0.640 -2.705 -1.492
Tm -3.672 -3.031 -1.297
```

Calculated values
**Offset from the most stable computed form**: 22 meV per atom
**E_tot**: -52.55 eV/cell
**Density**: 10081 kg/m³
**Size of the total moment**: 0.01 μB/f.u.

---

No. 10
# Y3ErTm2Sb2Os

A relaxed Y3ErTm2Sb2Os crystal (PBE-GGA, OQMD).

extended XYZ file:
```
9
Lattice="4.213 0.000 0.000 0.000 7.043 4.066 0.000 -7.043 4.066" Properties=species:S:1:pos:R:3 pbc="T T T"
Er 0.000 0.000 1.908
Os 2.106 0.000 8.124
Sb 0.000 2.350 4.068
Sb 0.000 -2.350 4.068
Tm 0.000 5.393 3.113
Tm 0.000 -5.393 3.113
Y 2.106 4.260 5.671
Y 2.106 0.000 4.923
Y 2.106 -4.260 5.671
```

Calculated values
**E_tot**: -58.77 eV/cell
**Density**: 8298 kg/m³
**Size of the total moment**: 0.04 μB/f.u.

---

No. 11
# YEr2Tm3Sb2Os

A relaxed YEr2Tm3Sb2Os crystal (PBE-GGA, OQMD).

extended XYZ file:
```
9
Lattice="-0.152 3.800 1.779 2.672 -3.152 6.961 5.297 2.768 -5.460" Properties=species:S:1:pos:R:3 pbc="T T T"
Er 4.736 -2.071 4.828
Er 6.336 1.537 -2.742
Os 0.036 -0.002 0.007
Sb 3.465 0.718 3.716
Sb 4.343 2.698 -0.438
Tm 1.812 1.809 1.245
Tm 6.648 0.866 3.672
Tm 7.264 2.256 0.757
Y 4.825 -0.233 0.909
```

Calculated values
**E_tot**: -54.74 eV/cell
**Density**: 9487 kg/m³
**Size of the total moment**: 0.03 μB/f.u.

---

No. 12
# Y3Er3Sb2Os

A relaxed Y3Er3Sb2Os crystal (PBE-GGA, OQMD).

extended XYZ file:
```
9
Lattice="-7.325 3.500 -0.744 2.571 -5.310 -5.627 -1.729 -3.154 2.187" Properties=species:S:1:pos:R:3 pbc="T T T"
Er -2.587 -0.754 0.919
Er -0.260 -2.825 -0.229
Er -4.501 -2.962 -3.779
Os 0.000 0.000 0.000
Sb -4.891 -1.014 -1.278
Sb -1.592 -3.951 -2.906
Y -4.431 2.117 -0.450
Y -1.879 -0.715 -2.517
Y 1.555 -3.212 -3.404
```

Calculated values
**Offset from the most stable computed form**: 0 meV per atom
**E_tot**: -58.88 eV/cell
**Density**: 8239 kg/m³
**Size of the total moment**: 0.02 μB/f.u.

---

No. 13
# Y3Er3Sb2Os

A relaxed Y3Er3Sb2Os crystal (PBE-GGA, OQMD).

extended XYZ file:
```
9
Lattice="8.176 0.000 0.000 -4.088 7.080 0.000 0.000 0.000 4.199" Properties=species:S:1:pos:R:3 pbc="T T T"
Er 4.970 0.000 0.000
Er 1.603 2.776 0.000
Er -2.485 4.304 0.000
Os 0.000 0.000 0.000
Sb 4.088 2.360 2.099
Sb 0.000 4.720 2.099
Y 1.962 0.000 2.099
Y -0.981 1.699 2.099
Y 3.107 5.381 2.099
```

Calculated values
**Offset from the most stable computed form**: 60 meV per atom
**E_tot**: -58.33 eV/cell
**Density**: 8213 kg/m³
**Size of the total moment**: 0.01 μB/f.u.

---

No. 14
# Er3Zr3Sb2Os

A relaxed Er3Zr3Sb2Os crystal (PBE-GGA, OQMD).

extended XYZ file:
```
9
Lattice="7.969 0.000 0.000 -3.984 6.901 0.000 0.000 0.000 3.968" Properties=species:S:1:pos:R:3 pbc="T T T"
Er 3.168 0.000 0.000
Er -1.584 2.743 0.000
Er 2.401 4.158 0.000
Os 0.000 0.000 0.000
Sb 3.984 2.300 1.984
Sb 0.000 4.601 1.984
Zr 6.075 0.000 1.984
Zr 0.947 1.640 1.984
Zr -3.038 5.261 1.984
```

Calculated values
**Offset from the most stable computed form**: 0 meV per atom
**E_tot**: -64.45 eV/cell
**Density**: 9200 kg/m³
**Size of the total moment**: 0.13 μB/f.u.

---

No. 15
# Er3Zr3Sb2Os

A relaxed Er3Zr3Sb2Os crystal (PBE-GGA, OQMD).

extended XYZ file:
```
9
Lattice="-0.231 -6.120 5.191 4.873 6.234 1.358 -2.784 1.754 1.943" Properties=species:S:1:pos:R:3 pbc="T T T"
Er -1.566 -3.725 4.875
Er -0.240 0.905 2.596
Er 2.272 5.564 1.992
Os 0.000 0.000 0.000
Sb 0.078 -1.125 4.885
Sb 1.780 2.993 3.607
Zr -0.092 -2.429 2.061
Zr 1.934 2.474 0.539
Zr 2.800 0.069 3.949
```

Calculated values
**Offset from the most stable computed form**: 153 meV per atom
**E_tot**: -63.07 eV/cell
**Density**: 9413 kg/m³
**Size of the total moment**: 0.06 μB/f.u.

---

No. 16
# Er3ZrSc2Te2Os

A relaxed Er3ZrSc2Te2Os crystal (PBE-GGA, OQMD).

extended XYZ file:
```
9
Lattice="3.937 0.000 0.000 0.000 6.908 3.964 0.000 -6.908 3.964" Properties=species:S:1:pos:R:3 pbc="T T T"
Er 0.000 2.685 1.546
Er 0.000 -2.685 1.546
Er 0.000 0.000 4.812
Os 0.000 0.000 0.013
Sc 1.969 5.273 3.031
Sc 1.969 -5.273 3.031
Te 1.969 2.309 3.966
Te 1.969 -2.309 3.966
Zr 1.969 0.000 1.872
```

Calculated values
**E_tot**: -59.00 eV/cell
**Density**: 8690 kg/m³
**Size of the total moment**: 0.06 μB/f.u.

---

No. 17
# Er3Zr2ScTe2Os

A relaxed Er3Zr2ScTe2Os crystal (PBE-GGA, OQMD).

extended XYZ file:
```
9
Lattice="3.884 0.000 0.000 0.000 6.920 4.014 0.000 -6.920 4.014" Properties=species:S:1:pos:R:3 pbc="T T T"
Er 0.000 4.189 5.588
Er 0.000 0.000 4.886
Er 0.000 -4.189 5.588
Os 0.000 0.000 8.017
Sc 1.942 0.000 1.921
Te 1.942 2.300 4.014
Te 1.942 -2.300 4.014
Zr 1.942 5.271 3.058
Zr 1.942 -5.271 3.058
```

Calculated values
**E_tot**: -60.97 eV/cell
**Density**: 9038 kg/m³
**Size of the total moment**: 0.05 μB/f.u.

---

No. 18
# ErZr2Sc3Te2Os

A relaxed ErZr2Sc3Te2Os crystal (PBE-GGA, OQMD).

extended XYZ file:
```
9
Lattice="-2.973 -1.610 -1.715 4.569 -5.984 -2.304 -3.870 -0.156 6.855" Properties=species:S:1:pos:R:3 pbc="T T T"
Er 0.276 -2.421 1.795
Os 0.006 -0.053 0.040
Sc 2.135 -6.778 -1.529
Sc -0.954 -5.481 2.608
Sc -4.250 -2.370 5.400
Te 0.302 -4.878 -0.136
Te -2.574 -2.891 2.986
Zr 2.754 -3.611 -1.385
Zr -2.332 -0.099 4.135
```

Calculated values
**E_tot**: -63.92 eV/cell
**Density**: 7720 kg/m³
**Size of the total moment**: 0.01 μB/f.u.

---

No. 19
# Er2ZrSc3Te2Os

A relaxed Er2ZrSc3Te2Os crystal (PBE-GGA, OQMD).

extended XYZ file:
```
9
Lattice="-3.296 1.198 -1.667 -2.264 3.168 6.752 4.102 4.431 -4.928" Properties=species:S:1:pos:R:3 pbc="T T T"
Er 0.240 5.863 3.738
Er 2.716 6.354 -0.806
Os 1.816 7.505 1.801
Sc -2.147 1.409 0.736
Sc -0.686 1.699 -1.944
Sc -0.247 6.390 0.556
Te -1.758 4.181 1.957
Te 0.294 4.588 -1.807
Zr 0.726 3.002 0.720
```

Calculated values
**E_tot**: -60.47 eV/cell
**Density**: 8022 kg/m³
**Size of the total moment**: 0.01 μB/f.u.

---

No. 20
# Er3Si13Os4

A relaxed Er3Si13Os4 crystal (PBE-GGA, OQMD).

extended XYZ file:
```
40
Lattice="8.777 0.000 0.000 0.000 8.777 0.000 0.000 0.000 8.777" Properties=species:S:1:pos:R:3 pbc="T T T"
Er 4.388 2.194 0.000
Er 4.388 6.583 0.000
Er 0.000 4.388 2.194
Er 2.194 0.000 4.388
Er 6.583 0.000 4.388
Er 0.000 4.388 6.583
Os 2.194 2.194 2.194
Os 6.583 2.194 2.194
Os 2.194 6.583 2.194
Os 6.583 6.583 2.194
Os 2.194 2.194 6.583
Os 6.583 2.194 6.583
Os 2.194 6.583 6.583
Os 6.583 6.583 6.583
Si 0.000 0.000 0.000
Si 1.214 2.477 0.000
Si 7.563 2.477 0.000
Si 1.214 6.300 0.000
Si 7.563 6.300 0.000
Si 2.477 0.000 1.214
Si 6.300 0.000 1.214
Si 3.174 4.388 1.911
Si 5.602 4.388 1.911
Si 0.000 1.214 2.477
Si 0.000 7.563 2.477
Si 4.388 1.911 3.174
Si 4.388 6.865 3.174
Si 1.911 3.174 4.388
Si 6.865 3.174 4.388
Si 4.388 4.388 4.388
Si 1.911 5.602 4.388
Si 6.865 5.602 4.388
Si 4.388 1.911 5.602
Si 4.388 6.865 5.602
Si 0.000 1.214 6.300
Si 0.000 7.563 6.300
Si 3.174 4.388 6.865
Si 5.602 4.388 6.865
Si 2.477 0.000 7.563
Si 6.300 0.000 7.563
```

Calculated values
**E_tot**: -276.56 eV/cell
**Density**: 7996 kg/m³
**Size of the total moment**: 0.00 μB/f.u.